{"formula": "RbCaMnO3", "functional": "PBE+U", "state": "optimized geometry", "energy_ev_per_cell": -73.564, "space_group": "C2/m", "m_tot_mub_per_atom": 0.670, "lattice_angstrom": [[3.842, 0.000, 0.000], [-1.921, 6.660, -0.021], [0.000, -1.972, 7.491]], "species": ["Rb", "Rb", "Ca", "Ca", "Mn", "Mn", "O", "O", "O", "O", "O", "O"], "frac_coords": [[0.347, 0.695, 0.929], [0.653, 0.305, 0.071], [0.658, 0.317, 0.575], [0.342, 0.683, 0.425], [0.008, 0.016, 0.294], [0.992, 0.984, 0.706], [0.861, 0.723, 0.236], [0.842, 0.683, 0.635], [0.509, 0.018, 0.314], [0.158, 0.317, 0.365], [0.491, 0.982, 0.686], [0.139, 0.277, 0.764]]}